An optimized crystal structure of Al2CdSi, computed with PBE-GGA.

a = 5.023 Å, b = 5.023 Å, c = 5.023 Å
α = 129.96°, β = 129.96°, γ = 73.48°
Sites, in units of the cell vectors:
Al  0.000  0.000  0.000
Al  0.250  0.750  0.500
Si  0.750  0.250  0.500
Cd  0.500  0.500  0.000

Results
Total magnetic moment in μB per formula unit: 0.00
E_form (uncorrected) in kJ/mol of formula units: 107
Space group: I-4m2, No. 119
ΔE to the lowest computed polymorph in meV per atom: 102



An optimized crystal structure of ReTe2Se, computed with PBE-GGA.

a = 3.357 Å, b = 5.056 Å, c = 4.896 Å
α = 90.00°, β = 90.00°, γ = 90.00°
Sites, in units of the cell vectors:
Re  0.500  0.000  0.500
Se  0.000  0.500  0.500
Te  0.500  0.500  0.000
Te  0.000  0.000  0.000

Results
Total magnetic moment in μB per formula unit: 0.00
E_form (uncorrected) in kJ/mol of formula units: 386
Space group: Pmmm, No. 47